[1]
CoSb2W: optimized geometry, PBE.

Properties
- size of the total moment (μB per cell) = 1.17
- calculated density (Mg/m³) = 10.79

abc: 4.731 4.731 4.731
angles: 60.00 60.00 60.00
Positions (direct):
Sb (0.000, 0.000, 0.000)
Sb (0.750, 0.750, 0.750)
Co (0.250, 0.250, 0.250)
W (0.500, 0.500, 0.500)

***

[2]
GdPtAu: optimized geometry, PBE.

Properties
- calculated formation energy (eV per formula unit) = -2.514
- size of the total moment (μB per cell) = 0.00
- calculated density (Mg/m³) = 12.87

abc: 4.646 4.646 4.646
angles: 60.00 60.00 60.00
Positions (direct):
Au (0.250, 0.250, 0.250)
Pt (0.000, 0.000, 0.000)
Gd (0.750, 0.750, 0.750)

***

[3]
ErHg2Pb: optimized geometry, PBE.

Properties
- size of the total moment (μB per cell) = 0.00
- calculated density (Mg/m³) = 12.88

abc: 4.546 4.546 4.841
angles: 90.00 90.00 90.00
Positions (direct):
Hg (0.500, 0.000, 0.000)
Hg (0.000, 0.500, 0.000)
Pb (0.500, 0.500, 0.500)
Er (0.000, 0.000, 0.500)

***

[4]
HfInFeAu: optimized geometry, PBE.

Properties
- size of the total moment (μB per cell) = 1.75
- calculated density (Mg/m³) = 12.71
- offset from the most stable computed form (meV/atom) = 0

abc: 4.656 4.656 4.656
angles: 60.00 60.00 60.00
Positions (direct):
Hf (0.500, 0.500, 0.500)
In (0.000, 0.000, 0.000)
Au (0.250, 0.250, 0.250)
Fe (0.750, 0.750, 0.750)

***

[5]
Li6CdAg: optimized geometry, PBE.

Properties
- calculated density (Mg/m³) = 3.41

abc: 4.486 4.486 6.334
angles: 90.00 90.00 90.00
Positions (direct):
Li (0.000, 0.500, 0.257)
Li (0.000, 0.000, 0.000)
Li (0.500, 0.500, 0.500)
Li (0.500, 0.000, 0.743)
Li (0.500, 0.000, 0.257)
Li (0.000, 0.500, 0.743)
Cd (0.500, 0.500, 0.000)
Ag (0.000, 0.000, 0.500)

***

[6]
Cu7Ag3: optimized geometry, PBE.

Properties
- calculated formation energy (eV per formula unit) = 0.923
- calculated density (Mg/m³) = 9.26
- offset from the most stable computed form (meV/atom) = 48

abc: 7.126 7.126 4.659
angles: 96.28 96.28 141.83
Positions (direct):
Cu (0.791, 0.209, 0.000)
Cu (0.604, 0.396, 0.000)
Cu (0.698, 0.302, 0.500)
Cu (0.396, 0.604, 0.000)
Cu (0.302, 0.698, 0.500)
Cu (0.209, 0.791, 0.000)
Cu (0.500, 0.500, 0.500)
Ag (0.000, 0.000, 0.000)
Ag (0.892, 0.108, 0.500)
Ag (0.108, 0.892, 0.500)

***

[7]
NbRePb: optimized geometry, PBE.

Properties
- size of the total moment (μB per cell) = 0.01
- calculated density (Mg/m³) = 13.14
- offset from the most stable computed form (meV/atom) = 407

abc: 4.978 4.978 2.864
angles: 90.00 90.00 120.00
Positions (direct):
Re (0.000, 0.000, 0.000)
Pb (0.333, 0.667, 0.000)
Nb (0.667, 0.333, 0.000)

***

[8]
Lu2NbB: optimized geometry, PBE.

Properties
- size of the total moment (μB per cell) = 0.02
- calculated density (Mg/m³) = 10.39

abc: 4.680 4.680 4.680
angles: 60.00 60.00 60.00
Positions (direct):
Lu (0.750, 0.750, 0.750)
Lu (0.000, 0.000, 0.000)
Nb (0.250, 0.250, 0.250)
B (0.500, 0.500, 0.500)

***

[9]
Mo4AsN3: optimized geometry, PBE.

Properties
- size of the total moment (μB per cell) = 0.63
- calculated density (Mg/m³) = 8.81

abc: 3.144 3.144 22.036
angles: 90.00 90.00 120.00
Positions (direct):
Mo (0.667, 0.333, 0.547)
Mo (0.000, 0.000, 0.663)
Mo (0.333, 0.667, 0.047)
Mo (0.333, 0.667, 0.453)
Mo (0.000, 0.000, 0.163)
Mo (0.000, 0.000, 0.337)
Mo (0.000, 0.000, 0.837)
Mo (0.667, 0.333, 0.953)
N (0.000, 0.000, 0.500)
N (0.333, 0.667, 0.609)
N (0.333, 0.667, 0.891)
N (0.667, 0.333, 0.109)
N (0.000, 0.000, 0.000)
N (0.667, 0.333, 0.391)
As (0.667, 0.333, 0.750)
As (0.333, 0.667, 0.250)

***

[10]
HfTe2P6W: optimized geometry, PBE.

Properties
- size of the total moment (μB per cell) = 0.22
- calculated density (Mg/m³) = 4.53

abc: 14.435 14.435 14.435
angles: 28.08 28.08 28.08
Positions (direct):
P (0.794, 0.298, 0.794)
P (0.432, 0.432, 0.790)
P (0.568, 0.568, 0.210)
P (0.298, 0.794, 0.794)
P (0.794, 0.794, 0.298)
P (0.206, 0.702, 0.206)
P (0.702, 0.206, 0.206)
P (0.790, 0.432, 0.432)
P (0.206, 0.206, 0.702)
P (0.568, 0.210, 0.568)
P (0.432, 0.790, 0.432)
P (0.210, 0.568, 0.568)
Hf (0.000, 0.000, 0.000)
Hf (0.500, 0.500, 0.500)
W (0.601, 0.601, 0.601)
W (0.399, 0.399, 0.399)
Te (0.078, 0.078, 0.078)
Te (0.763, 0.763, 0.763)
Te (0.922, 0.922, 0.922)
Te (0.237, 0.237, 0.237)

***

[11]
Hf2TaAg: optimized geometry, PBE.

Properties
- calculated formation energy (eV per formula unit) = 1.190
- size of the total moment (μB per cell) = 0.01
- calculated density (Mg/m³) = 13.88

abc: 4.781 4.781 4.781
angles: 60.00 60.00 60.00
Positions (direct):
Hf (0.250, 0.250, 0.250)
Hf (0.000, 0.000, 0.000)
Ag (0.500, 0.500, 0.500)
Ta (0.750, 0.750, 0.750)

***

[12]
NaHoHgO3: optimized geometry, PBE.

Properties
- size of the total moment (μB per cell) = 0.00
- calculated density (Mg/m³) = 7.67

abc: 6.332 6.332 8.749
angles: 90.00 90.00 32.62
Positions (direct):
O (0.621, 0.621, 0.518)
O (0.621, 0.621, 0.982)
O (0.379, 0.379, 0.018)
O (0.969, 0.969, 0.750)
O (0.379, 0.379, 0.482)
O (0.031, 0.031, 0.250)
Ho (0.000, 0.000, 0.500)
Ho (0.000, 0.000, 0.000)
Hg (0.636, 0.636, 0.750)
Hg (0.364, 0.364, 0.250)
Na (0.346, 0.346, 0.750)
Na (0.654, 0.654, 0.250)

***

Number 1: VASP energy -6.12 eV per atom. Number 2: VASP energy -5.50 eV per atom. Number 3: VASP energy -2.52 eV per atom. Number 4: VASP energy -6.21 eV per atom. Number 5: VASP energy -2.05 eV per atom. Number 6: VASP energy -3.36 eV per atom. Number 7: VASP energy -7.63 eV per atom. Number 8: VASP energy -5.72 eV per atom. Number 9: VASP energy -9.13 eV per atom. Number 10: VASP energy -5.95 eV per atom. Number 11: VASP energy -8.35 eV per atom. Number 12: VASP energy -5.37 eV per atom.